! PaMnBi2O8 PBE+U relaxed; values from VASP
! Total moment (μB/cell): 4.58
! Fermi-level density of states (states/eV per cell): 5.9
! Final energy (Ry per atom): -0.5102
&SYSTEM
  ibrav = 0, nat = 12, ntyp = 4
/
ATOMIC_SPECIES
Pa 231.04 Pa.upf
Mn 54.94 Mn.upf
Bi 208.98 Bi.upf
O 16.00 O.upf
ATOMIC_POSITIONS crystal
Pa 0.000 0.000 0.000
Mn 0.250 0.750 0.500
Bi 0.500 0.500 0.000
Bi 0.750 0.250 0.500
O 0.287 0.091 0.804
O 0.287 0.484 0.196
O 0.337 0.038 0.299
O 0.516 0.713 0.804
O 0.739 0.038 0.701
O 0.909 0.713 0.196
O 0.962 0.261 0.299
O 0.962 0.663 0.701
CELL_PARAMETERS angstrom
-3.564 3.564 3.678
3.564 -3.564 3.678
3.564 3.564 -3.678